The following is a PBE with a Hubbard U calculation of a relaxed Ba2U3CoO12 crystal, from Alexandria.

Results
Raw total energy   -8.4384 eV/atom

Unit cell a=7.8724 b=7.8724 c=17.2394 alpha=90.00 beta=90.00 gamma=120.00
Space group R-3m (No. 166, hexagonal axes)
Inequivalent atoms, fractional coordinates:
Ba 0.0000 0.0000 0.1583
U 0.0000 0.5000 0.0000
Co 0.0000 0.0000 0.5000
O 0.0805 0.5403 0.3792
O 0.1015 0.5507 0.1065